No. 1
Density functional theory data (PBE) for a geometry-optimized CsTlAg2Pd structure.

## Properties
The value obtained for the final energy is -13.774 eV per cell. As for the calculated formation energy: 0.3 eV/f.u. The calculation puts the spin magnetization at 0.000 μB per atom.

CIF file:
```
data_CsTlAg2Pd
_cell_length_a 5.467
_cell_length_b 5.467
_cell_length_c 5.257
_cell_angle_alpha 90.00
_cell_angle_beta 90.00
_cell_angle_gamma 90.00
_space_group_name_H-M_alt 'P 4/m m m'
_space_group_IT_number 123
_space_group_name_Hall '-P 4 2'
loop_
_atom_site_label
_atom_site_type_symbol
_atom_site_fract_x
_atom_site_fract_y
_atom_site_fract_z
Cs1 Cs 0.000 0.000 0.000
Tl1 Tl 0.500 0.500 0.000
Ag1 Ag 0.000 0.500 0.500
Pd1 Pd 0.500 0.500 0.500
```

No. 2
Density functional theory data (PBE) for a geometry-optimized CsTl2AgPd structure.

## Properties
The value obtained for the final energy is -13.798 eV per cell. As for the calculated formation energy: -0.2 eV/f.u. The calculation puts the spin magnetization at 0.000 μB per atom.

CIF file:
```
data_CsTl2AgPd
_cell_length_a 5.371
_cell_length_b 5.371
_cell_length_c 5.604
_cell_angle_alpha 90.00
_cell_angle_beta 90.00
_cell_angle_gamma 90.00
_space_group_name_H-M_alt 'P 4/m m m'
_space_group_IT_number 123
_space_group_name_Hall '-P 4 2'
loop_
_atom_site_label
_atom_site_type_symbol
_atom_site_fract_x
_atom_site_fract_y
_atom_site_fract_z
Cs1 Cs 0.000 0.000 0.000
Tl1 Tl 0.000 0.500 0.500
Ag1 Ag 0.500 0.500 0.000
Pd1 Pd 0.500 0.500 0.500
```

No. 3
Density functional theory data (PBE) for a geometry-optimized Cs2YAgPd structure.

## Properties
The value obtained for the final energy is -11.021 eV per cell. As for the calculated formation energy: 5.2 eV/f.u. The calculation puts the spin magnetization at 0.371 μB per atom.

CIF file:
```
data_Cs2YAgPd
_cell_length_a 7.275
_cell_length_b 7.275
_cell_length_c 5.415
_cell_angle_alpha 90.00
_cell_angle_beta 90.00
_cell_angle_gamma 90.00
_space_group_name_H-M_alt 'P 4/m m m'
_space_group_IT_number 123
_space_group_name_Hall '-P 4 2'
loop_
_atom_site_label
_atom_site_type_symbol
_atom_site_fract_x
_atom_site_fract_y
_atom_site_fract_z
Cs1 Cs 0.000 0.500 0.000
Y1 Y 0.000 0.000 0.000
Ag1 Ag 0.000 0.000 0.500
Pd1 Pd 0.500 0.500 0.500
```